Run w
The following is a DFT calculation (PBE) of crystalline YTiIO2 at its relaxed geometry.

Values from the calculation:
- DOS at the Fermi energy (states/eV/atom) = 0.90
- space group = No. 123

Lattice parameters (Å, degrees): 4.076 4.076 5.448 90.00 90.00 90.00
Last column: magnetic moment on the atom in μB.
Fractional coordinates of all 5 atoms:
1 O 0.500 0.000 0.000  -0.01
2 O 0.000 0.500 0.000  -0.01
3 Ti 0.000 0.000 0.000  0.39
4 Y 0.500 0.500 0.500  0.08
5 I 0.000 0.000 0.500  0.01



Run x
The following is a DFT calculation (PBE) of crystalline YTiIO2 at its relaxed geometry.

Values from the calculation:
- DOS at the Fermi energy (states/eV/atom) = 1.58
- space group = No. 123

Lattice parameters (Å, degrees): 4.350 4.350 6.105 90.00 90.00 90.00
Last column: magnetic moment on the atom in μB.
Fractional coordinates of all 5 atoms:
1 O 0.000 0.500 0.000  -0.21
2 O 0.500 0.000 0.000  -0.21
3 Ti 0.500 0.500 0.500  2.01
4 Y 0.000 0.000 0.000  0.03
5 I 0.000 0.000 0.500  -0.02



Short version: run w is the most stable of them.



Run w
The following is a DFT calculation (PBE) of crystalline TlI2O2 at its relaxed geometry.

Values from the calculation:
- DOS at the Fermi energy (states/eV/atom) = 0.61
- space group = No. 123

Lattice parameters (Å, degrees): 4.295 4.295 8.137 90.00 90.00 90.00
Fractional coordinates of all 5 atoms:
1 O 0.500 0.000 0.000
2 O 0.000 0.500 0.000
3 I 0.000 0.000 0.000
4 I 0.000 0.000 0.500
5 Tl 0.500 0.500 0.500



Run x
The following is a DFT calculation (PBE) of crystalline TlI2O2 at its relaxed geometry.

Values from the calculation:
- DOS at the Fermi energy (states/eV/atom) = 1.21
- space group = No. 123

Lattice parameters (Å, degrees): 6.263 6.263 4.020 90.00 90.00 90.00
Last column: magnetic moment on the atom in μB.
Fractional coordinates of all 5 atoms:
1 I 0.500 0.000 0.000  0.30
2 I 0.000 0.500 0.000  0.30
3 O 0.000 0.000 0.500  0.06
4 O 0.500 0.500 0.500  0.17
5 Tl 0.000 0.000 0.000  -0.01



Run y
The following is a DFT calculation (PBE) of crystalline TlI2O2 at its relaxed geometry.

Values from the calculation:
- DOS at the Fermi energy (states/eV/atom) = 1.03
- space group = No. 123

Lattice parameters (Å, degrees): 4.648 4.648 6.427 90.00 90.00 90.00
Last column: magnetic moment on the atom in μB.
Fractional coordinates of all 5 atoms:
1 O 0.000 0.000 0.000  0.01
2 O 0.000 0.000 0.500  1.04
3 Tl 0.500 0.500 0.500  0.01
4 I 0.500 0.000 0.000  0.00
5 I 0.000 0.500 0.000  0.00



Short version: run w is the most stable of them.



Run w
The following is a DFT calculation (PBE) of crystalline TlIO2 at its relaxed geometry.

Values from the calculation:
- DOS at the Fermi energy (states/eV/atom) = 0.32
- space group = No. 166

Lattice parameters (Å, degrees): 6.927 6.927 6.927 30.37 30.37 30.37
Fractional coordinates of all 4 atoms:
1 Tl 0.500 0.500 0.500
2 I 0.000 0.000 0.000
3 O 0.889 0.889 0.889
4 O 0.111 0.111 0.111



Run x
The following is a DFT calculation (PBE) of crystalline TlIO2 at its relaxed geometry.

Values from the calculation:
- space group = No. 152

Lattice parameters (Å, degrees): 7.325 7.325 7.674 90.00 90.00 120.00
Fractional coordinates of all 12 atoms:
1 I 0.362 0.362 0.500
2 I 0.638 0.000 0.833
3 I 0.000 0.638 0.167
4 Tl 0.000 0.749 0.667
5 Tl 0.251 0.251 0.000
6 Tl 0.749 0.000 0.333
7 O 0.856 0.722 0.325
8 O 0.722 0.856 0.675
9 O 0.866 0.144 0.992
10 O 0.134 0.278 0.341
11 O 0.278 0.134 0.659
12 O 0.144 0.866 0.008



Run y
The following is a DFT calculation (PBE) of crystalline TlIO2 at its relaxed geometry.

Values from the calculation:
- DOS at the Fermi energy (states/eV/atom) = 0.38
- space group = No. 122

Lattice parameters (Å, degrees): 6.048 6.048 6.251 61.07 61.07 90.00
Fractional coordinates of all 8 atoms:
1 O 0.375 0.317 0.750
2 O 0.067 0.625 0.250
3 O 0.683 0.125 0.250
4 O 0.875 0.933 0.750
5 Tl 0.000 0.000 0.000
6 Tl 0.750 0.250 0.500
7 I 0.500 0.500 0.000
8 I 0.250 0.750 0.500



Short version: run w is the most stable of them.



Run w
The following is a DFT calculation (PBE) of crystalline TlI2O at its relaxed geometry.

Values from the calculation:
- DOS at the Fermi energy (states/eV/atom) = 0.08
- space group = No. 122

Lattice parameters (Å, degrees): 6.929 6.929 7.926 64.08 64.08 90.00
Fractional coordinates of all 8 atoms:
1 Tl 0.750 0.250 0.500
2 Tl 0.000 0.000 0.000
3 O 0.500 0.500 0.000
4 O 0.250 0.750 0.500
5 I 0.425 0.125 0.250
6 I 0.875 0.675 0.750
7 I 0.375 0.575 0.750
8 I 0.325 0.625 0.250



Run x
The following is a DFT calculation (PBE) of crystalline TlI2O at its relaxed geometry.

Values from the calculation:
- DOS at the Fermi energy (states/eV/atom) = 2.43
- space group = No. 225

Lattice parameters (Å, degrees): 5.356 5.356 5.356 60.00 60.00 60.00
Fractional coordinates of all 4 atoms:
1 I 0.250 0.250 0.250
2 I 0.750 0.750 0.750
3 O 0.000 0.000 0.000
4 Tl 0.500 0.500 0.500



Short version: run w is the most stable of them.